[1]
Here is a relaxed AlPt4 crystal from Alexandria via LeMat-Bulk. Energies are from PBE.

Structure (CIF):
```
data_AlPt4
_cell_length_a 4.504
_cell_length_b 4.504
_cell_length_c 4.504
_cell_angle_alpha 90.00
_cell_angle_beta 90.00
_cell_angle_gamma 90.00
_symmetry_space_group_name_H-M 'P m -3 m'
_symmetry_Int_Tables_number 221
_symmetry_space_group_name_Hall '-P 4 2 3'
loop_
_atom_site_label
_atom_site_fract_x
_atom_site_fract_y
_atom_site_fract_z
_atom_site_occupancy
Al1 0.000 0.000 0.000 1
Pt1 0.000 0.000 0.500 1
Pt2 0.500 0.500 0.500 1
```

Values from the calculation:
* polymorph energy (0 for the lowest one): 1048 meV per atom
* E: -5.011 eV/atom
* energy of formation: 570.2 meV per atom

=====

[2]
Here is a relaxed TaCrW2 crystal from Alexandria via LeMat-Bulk. Energies are from PBE.

Structure (CIF):
```
data_TaCrW2
_cell_length_a 3.138
_cell_length_b 3.138
_cell_length_c 6.328
_cell_angle_alpha 90.00
_cell_angle_beta 90.00
_cell_angle_gamma 90.00
_symmetry_space_group_name_H-M 'P 4/m m m'
_symmetry_Int_Tables_number 123
_symmetry_space_group_name_Hall '-P 4 2'
loop_
_atom_site_label
_atom_site_fract_x
_atom_site_fract_y
_atom_site_fract_z
_atom_site_occupancy
Ta1 0.000 0.000 0.000 1
Cr1 0.000 0.000 0.500 1
W1 0.500 0.500 0.266 1
```

Values from the calculation:
* polymorph energy (0 for the lowest one): 41 meV per atom
* E: -11.836 eV/atom
* energy of formation: 9.8 meV per atom

=====

[3]
Here is a relaxed SiAs2P crystal from Alexandria via LeMat-Bulk. Energies are from PBE.

Structure (CIF):
```
data_SiAs2P
_cell_length_a 3.527
_cell_length_b 3.861
_cell_length_c 10.647
_cell_angle_alpha 90.00
_cell_angle_beta 90.00
_cell_angle_gamma 90.00
_symmetry_space_group_name_H-M 'I m m m'
_symmetry_Int_Tables_number 71
_symmetry_space_group_name_Hall '-I 2 2'
loop_
_atom_site_label
_atom_site_fract_x
_atom_site_fract_y
_atom_site_fract_z
_atom_site_occupancy
Si1 0.000 0.000 0.000 1
As1 0.000 0.500 0.317 1
P1 0.000 0.000 0.500 1
```

Values from the calculation:
* polymorph energy (0 for the lowest one): 298 meV per atom
* energy relative to the elements, uncorrected: 0.405 eV per atom
* E: -4.628 eV/atom

=====

What is the E in the third record? -4.628 eV/atom

=====

Copy entry 3 word for word.
Here is a relaxed SiAs2P crystal from Alexandria via LeMat-Bulk. Energies are from PBE.

Structure (CIF):
```
data_SiAs2P
_cell_length_a 3.527
_cell_length_b 3.861
_cell_length_c 10.647
_cell_angle_alpha 90.00
_cell_angle_beta 90.00
_cell_angle_gamma 90.00
_symmetry_space_group_name_H-M 'I m m m'
_symmetry_Int_Tables_number 71
_symmetry_space_group_name_Hall '-I 2 2'
loop_
_atom_site_label
_atom_site_fract_x
_atom_site_fract_y
_atom_site_fract_z
_atom_site_occupancy
Si1 0.000 0.000 0.000 1
As1 0.000 0.500 0.317 1
P1 0.000 0.000 0.500 1
```

Values from the calculation:
* polymorph energy (0 for the lowest one): 298 meV per atom
* energy relative to the elements, uncorrected: 0.405 eV per atom
* E: -4.628 eV/atom

=====

Number 2 is which compound? TaCrW2

=====

Look up the E of the third one. -4.628 eV/atom